Entry 1:
Below is a relaxed structure of BiTe, with properties calculated at the PBE level.

POSCAR file:
```
BiTe
1.0
6.4901 0.0000 0.0000
0.0000 4.0875 0.0000
-3.2536 0.0000 6.3399
Bi Te
2 2
Direct
0.2140 0.2500 0.0140
0.7860 0.7500 0.9860
0.2095 0.7500 0.7024
0.7905 0.2500 0.2976
```

Summary:
offset from the most stable computed form = 0.252 eV per atom
DOS at the Fermi energy = 0.83 states/eV/f.u.
calculated total energy = -3.460 eV/atom
space-group type = P2_1/m, No. 11
mass density = 6.65 g/cm³


Entry 2:
Below is a relaxed structure of K3OsBr6Cl2, with properties calculated at the PBE level.

POSCAR file:
```
K3OsBr6Cl2
1.0
8.4571 -4.4844 0.0000
8.4571 4.4844 0.0000
-1.3948 0.0000 6.3017
K Os Br Cl
3 1 6 2
Direct
0.0000 0.0000 0.0000
0.0000 0.5000 0.5000
0.5000 0.0000 0.5000
0.5000 0.5000 0.5000
0.2225 0.6161 0.2758
0.3839 0.7775 0.7242
0.4023 0.4023 0.7375
0.5977 0.5977 0.2625
0.6161 0.2225 0.2758
0.7775 0.3839 0.7242
0.1735 0.1735 0.2207
0.8265 0.8265 0.7793
```

Summary:
calculated total energy = -3.298 eV/atom
space-group type = C2/m, No. 12
mass density = 2.98 g/cm³


Entry 3:
Below is a relaxed structure of LaDy2In, with properties calculated at the PBE level.

POSCAR file:
```
LaDy2In
1.0
1.7498 1.0102 11.9008
-1.7498 1.0102 11.9008
0.0000 -2.0205 11.9008
La Dy In
1 2 1
Direct
0.0000 0.0000 0.0000
0.0962 0.0962 0.0962
0.9038 0.9038 0.9038
0.5000 0.5000 0.5000
```

Summary:
energy of formation from the pure elements = 0.1 eV per formula unit
offset from the most stable computed form = 0.274 eV per atom
DOS at the Fermi energy = 6.85 states/eV/f.u.
calculated total energy = -4.199 eV/atom
space-group type = R-3m, No. 166
mass density = 7.61 g/cm³


Entry 4:
Below is a relaxed structure of PrTcBrO4, with properties calculated at the PBE level.

POSCAR file:
```
PrTcBrO4
1.0
5.4269 -3.7144 0.0000
5.4269 3.7144 0.0000
-1.7198 0.0000 6.8972
Pr Tc Br O
2 2 2 8
Direct
0.2271 0.2271 0.1125
0.7729 0.7729 0.8875
0.3675 0.3675 0.7239
0.6325 0.6325 0.2761
0.0148 0.0148 0.7536
0.9852 0.9852 0.2464
0.1289 0.4853 0.8568
0.2895 0.2895 0.4776
0.4664 0.4664 0.2161
0.4853 0.1289 0.8568
0.5147 0.8711 0.1432
0.5336 0.5336 0.7839
0.7105 0.7105 0.5224
0.8711 0.5147 0.1432
```

Summary:
DOS at the Fermi energy = 3.02 states/eV/f.u.
calculated total energy = -7.209 eV/atom
space-group type = C2/m, No. 12
mass density = 4.57 g/cm³


Entry 5:
Below is a relaxed structure of Sc5TlGa4, with properties calculated at the PBE level.

POSCAR file:
```
Sc5TlGa4
1.0
3.3741 0.0000 0.0000
0.0000 3.3741 0.0000
0.0000 0.0000 17.4393
Sc Tl Ga
5 1 4
Direct
0.0000 0.0000 0.0000
0.0000 0.0000 0.1907
0.0000 0.0000 0.3843
0.0000 0.0000 0.6157
0.0000 0.0000 0.8093
0.5000 0.5000 0.5000
0.5000 0.5000 0.0951
0.5000 0.5000 0.2878
0.5000 0.5000 0.7122
0.5000 0.5000 0.9049
```

Summary:
energy of formation from the pure elements = -5.2 eV per formula unit
DOS at the Fermi energy = 4.91 states/eV/f.u.
calculated total energy = -5.134 eV/atom
space-group type = P4/mmm, No. 123
mass density = 5.92 g/cm³


Entry 6:
Below is a relaxed structure of SmInCu, with properties calculated at the PBE level.

POSCAR file:
```
SmInCu
1.0
-1.6857 1.6857 5.8716
1.6857 -1.6857 5.8716
1.6857 1.6857 -5.8716
Sm In Cu
1 1 1
Direct
0.0000 0.0000 0.0000
0.7049 0.7049 0.0000
0.3374 0.3374 0.0000
```

Summary:
energy of formation from the pure elements = -0.6 eV per formula unit
DOS at the Fermi energy = 1.79 states/eV/f.u.
calculated total energy = -4.050 eV/atom
space-group type = I4mm, No. 107
mass density = 8.18 g/cm³


Entry 7:
Below is a relaxed structure of LiIn12Hg3, with properties calculated at the PBE level.

POSCAR file:
```
LiIn12Hg3
1.0
4.6960 0.0000 0.0000
0.0000 4.6960 0.0000
0.0000 0.0000 18.6898
Li In Hg
1 12 3
Direct
0.0000 0.0000 0.0000
0.0000 0.5000 0.1179
0.0000 0.5000 0.3721
0.0000 0.5000 0.6279
0.0000 0.5000 0.8821
0.5000 0.0000 0.1179
0.5000 0.0000 0.3721
0.5000 0.0000 0.6279
0.5000 0.0000 0.8821
0.5000 0.5000 0.0000
0.5000 0.5000 0.2444
0.5000 0.5000 0.5000
0.5000 0.5000 0.7556
0.0000 0.0000 0.2449
0.0000 0.0000 0.5000
0.0000 0.0000 0.7551
```

Summary:
energy of formation from the pure elements = -0.4 eV per formula unit
DOS at the Fermi energy = 3.61 states/eV/f.u.
calculated total energy = -2.254 eV/atom
space-group type = P4/mmm, No. 123
mass density = 8.00 g/cm³


Entry 8:
Below is a relaxed structure of AcPm3Sn2, with properties calculated at the PBE level.

POSCAR file:
```
AcPm3Sn2
1.0
9.4006 -2.4116 0.0000
9.4006 2.4116 0.0000
-3.9822 0.0000 8.8765
Ac Pm Sn
2 6 4
Direct
0.1169 0.1169 0.1401
0.8831 0.8831 0.8599
0.0557 0.0557 0.6897
0.3075 0.3075 0.1133
0.3549 0.3549 0.5195
0.6451 0.6451 0.4805
0.6925 0.6925 0.8867
0.9443 0.9443 0.3103
0.2368 0.2368 0.7055
0.4886 0.4886 0.1472
0.5114 0.5114 0.8528
0.7632 0.7632 0.2945
```

Summary:
energy of formation from the pure elements = -3.1 eV per formula unit
DOS at the Fermi energy = 6.95 states/eV/f.u.
calculated total energy = -4.907 eV/atom
space-group type = C2/m, No. 12
mass density = 7.42 g/cm³


Entry 9:
Below is a relaxed structure of ScHgCl2, with properties calculated at the PBE level.

POSCAR file:
```
ScHgCl2
1.0
4.9174 0.0000 0.0000
0.0000 3.5277 0.0000
-2.2871 0.0000 5.1861
Sc Hg Cl
1 1 2
Direct
0.0000 0.0000 0.0000
0.0000 0.5000 0.5000
0.5000 0.0000 0.5000
0.5000 0.5000 0.0000
```

Summary:
offset from the most stable computed form = 0.687 eV per atom
DOS at the Fermi energy = 2.28 states/eV/f.u.
calculated total energy = -3.284 eV/atom
space-group type = P2/m, No. 10
mass density = 5.84 g/cm³


Entry 10:
Below is a relaxed structure of NbOsS2N, with properties calculated at the PBE level.

POSCAR file:
```
NbOsS2N
1.0
4.9052 0.0000 0.0000
0.0000 4.9052 0.0000
0.0000 0.0000 3.8505
Nb Os S N
1 1 2 1
Direct
0.0000 0.0000 0.0000
0.5000 0.5000 0.5000
0.0000 0.5000 0.0000
0.5000 0.0000 0.0000
0.0000 0.0000 0.5000
```

Summary:
offset from the most stable computed form = 0.478 eV per atom
DOS at the Fermi energy = 4.81 states/eV/f.u.
calculated total energy = -6.565 eV/atom
space-group type = P4/mmm, No. 123
mass density = 6.48 g/cm³


Entry 11:
Below is a relaxed structure of Tb8TcNi2, with properties calculated at the PBE level.

POSCAR file:
```
Tb8TcNi2
1.0
8.5614 -2.5141 0.0000
8.5614 2.5141 0.0000
-1.9531 0.0000 6.4238
Tb Tc Ni
8 1 2
Direct
0.0346 0.0346 0.2941
0.1984 0.1984 0.8212
0.3288 0.3288 0.5255
0.4076 0.4076 0.0514
0.5924 0.5924 0.9486
0.6712 0.6712 0.4745
0.8016 0.8016 0.1788
0.9654 0.9654 0.7059
0.5000 0.5000 0.5000
0.1880 0.1880 0.2089
0.8120 0.8120 0.7911
```

Summary:
energy of formation from the pure elements = -1.6 eV per formula unit
offset from the most stable computed form = 0.000 eV per atom
DOS at the Fermi energy = 11.70 states/eV/f.u.
calculated total energy = -5.505 eV/atom
space-group type = C2/m, No. 12
mass density = 8.93 g/cm³


Entry 12:
Below is a relaxed structure of Th2Zn3Au4, with properties calculated at the PBE level.

POSCAR file:
```
Th2Zn3Au4
1.0
2.9822 -7.8641 0.0000
2.9822 7.8641 0.0000
0.0000 0.0000 7.9196
Th Zn Au
4 6 8
Direct
0.1158 0.8842 0.9159
0.3842 0.6158 0.4159
0.6158 0.3842 0.5841
0.8842 0.1158 0.0841
0.0000 0.0000 0.5000
0.0302 0.4698 0.7500
0.4698 0.0302 0.2500
0.5000 0.5000 0.0000
0.5302 0.9698 0.7500
0.9698 0.5302 0.2500
0.1831 0.8169 0.5329
0.2018 0.2982 0.7500
0.2982 0.2018 0.2500
0.3169 0.6831 0.0329
0.6831 0.3169 0.9671
0.7018 0.7982 0.7500
0.7982 0.7018 0.2500
0.8169 0.1831 0.4671
```

Summary:
energy of formation from the pure elements = -4.3 eV per formula unit
DOS at the Fermi energy = 4.86 states/eV/f.u.
calculated total energy = -4.012 eV/atom
space-group type = Cmce, No. 64
mass density = 12.95 g/cm³


Entry 13:
Below is a relaxed structure of AlCdP, with properties calculated at the PBE level.

POSCAR file:
```
AlCdP
1.0
-1.7034 1.7034 5.9165
1.7034 -1.7034 5.9165
1.7034 1.7034 -5.9165
Al Cd P
1 1 1
Direct
0.0000 0.0000 0.0000
0.2281 0.2281 0.0000
0.4457 0.4457 0.0000
```

Summary:
energy of formation from the pure elements = 0.0 eV per formula unit
offset from the most stable computed form = 0.000 eV per atom
DOS at the Fermi energy = 1.34 states/eV/f.u.
calculated total energy = -3.347 eV/atom
space-group type = I4mm, No. 107
mass density = 4.12 g/cm³


Entry 14:
Below is a relaxed structure of Sr2ReRh, with properties calculated at the PBE level.

POSCAR file:
```
Sr2ReRh
1.0
4.8361 -1.5070 0.0000
4.8361 1.5070 0.0000
-0.7033 0.0000 6.2545
Sr Re Rh
2 1 1
Direct
0.2482 0.2482 0.2437
0.7518 0.7518 0.7563
0.0000 0.0000 0.5000
0.5000 0.5000 0.0000
```

Summary:
energy of formation from the pure elements = 3.9 eV per formula unit
offset from the most stable computed form = 0.809 eV per atom
DOS at the Fermi energy = 5.06 states/eV/f.u.
calculated total energy = -4.810 eV/atom
space-group type = C2/m, No. 12
mass density = 8.46 g/cm³


Entry 15:
Below is a relaxed structure of YCr2Cd, with properties calculated at the PBE level.

POSCAR file:
```
YCr2Cd
1.0
4.1717 0.0000 0.0000
0.0000 4.4173 0.0000
0.0000 0.0000 4.4426
Y Cr Cd
1 2 1
Direct
0.0000 0.0000 0.0000
0.5000 0.0000 0.5000
0.5000 0.5000 0.0000
0.0000 0.5000 0.5000
```

Summary:
energy of formation from the pure elements = 1.8 eV per formula unit
DOS at the Fermi energy = 2.77 states/eV/f.u.
calculated total energy = -6.202 eV/atom
space-group type = Pmmm, No. 47
mass density = 6.19 g/cm³


Entry 16:
Below is a relaxed structure of Sr2TcBr, with properties calculated at the PBE level.

POSCAR file:
```
Sr2TcBr
1.0
3.6304 0.0000 0.0000
0.0000 3.6405 0.0000
0.0000 0.0000 8.6449
Sr Tc Br
2 1 1
Direct
0.0000 0.0000 0.2302
0.0000 0.0000 0.7698
0.5000 0.5000 0.0000
0.5000 0.5000 0.5000
```

Summary:
offset from the most stable computed form = 0.000 eV per atom
DOS at the Fermi energy = 2.22 states/eV/f.u.
calculated total energy = -4.018 eV/atom
space-group type = Pmmm, No. 47
mass density = 5.13 g/cm³


Entry 17:
Below is a relaxed structure of Ho4Mg2Cd, with properties calculated at the PBE level.

POSCAR file:
```
Ho4Mg2Cd
1.0
-3.2417 5.4841 5.7692
3.2417 -5.4841 5.7692
3.2417 5.4841 -5.7692
Ho Mg Cd
8 4 2
Direct
0.1664 0.1507 0.0157
0.2360 0.2249 0.4890
0.2360 0.7470 0.0110
0.3650 0.8493 0.5157
0.6350 0.1507 0.4843
0.7640 0.2530 0.9890
0.7640 0.7751 0.5110
0.8336 0.8493 0.9843
0.0000 0.5000 0.5000
0.0101 0.2601 0.7500
0.5000 0.5000 0.0000
0.9899 0.7399 0.2500
0.5000 0.0000 0.0000
0.5000 0.5000 0.5000
```

Summary:
energy of formation from the pure elements = 0.6 eV per formula unit
offset from the most stable computed form = 0.015 eV per atom
DOS at the Fermi energy = 8.58 states/eV/f.u.
calculated total energy = -3.122 eV/atom
space-group type = Imma, No. 74
mass density = 6.64 g/cm³


Entry 18:
Below is a relaxed structure of KI2Cl8, with properties calculated at the PBE level.

POSCAR file:
```
KI2Cl8
1.0
8.8382 0.0000 0.0000
-4.4191 7.6541 0.0000
0.0000 0.0000 6.3769
K I Cl
1 2 8
Direct
0.0000 0.0000 0.0000
0.3333 0.6667 0.2793
0.6667 0.3333 0.7207
0.1727 0.3474 0.2894
0.1747 0.8273 0.2894
0.3333 0.6667 0.7822
0.3474 0.1747 0.7106
0.6526 0.8253 0.2894
0.6667 0.3333 0.2178
0.8253 0.1727 0.7106
0.8273 0.6526 0.7106
```

Summary:
DOS at the Fermi energy = 4.68 states/eV/f.u.
calculated total energy = -1.960 eV/atom
space-group type = P-3, No. 147
mass density = 2.22 g/cm³


Entry 19:
Below is a relaxed structure of CeTlCu2Br8, with properties calculated at the PBE level.

POSCAR file:
```
CeTlCu2Br8
1.0
7.7059 0.0000 0.0000
-3.8529 6.6735 0.0000
0.0000 0.0000 8.9930
Ce Tl Cu Br
1 1 2 8
Direct
0.0000 0.0000 0.0000
0.0000 0.0000 0.5000
0.3333 0.6667 0.6881
0.6667 0.3333 0.3119
0.1657 0.3313 0.8077
0.1657 0.8343 0.8077
0.3313 0.1657 0.1923
0.3333 0.6667 0.4343
0.6667 0.3333 0.5657
0.6687 0.8343 0.8077
0.8343 0.1657 0.1923
0.8343 0.6687 0.1923
```

Summary:
DOS at the Fermi energy = 18.21 states/eV/f.u.
calculated total energy = -3.322 eV/atom
space-group type = P-3m1, No. 164
mass density = 3.99 g/cm³


Entry 20:
Below is a relaxed structure of Al2TcBr, with properties calculated at the PBE level.

POSCAR file:
```
Al2TcBr
1.0
3.4736 0.0000 0.0000
0.0000 3.4736 0.0000
0.0000 0.0000 7.4197
Al Tc Br
2 1 1
Direct
0.0000 0.0000 0.0000
0.5000 0.5000 0.2702
0.5000 0.5000 0.9549
0.0000 0.0000 0.4629
```

Summary:
offset from the most stable computed form = 0.376 eV per atom
DOS at the Fermi energy = 2.34 states/eV/f.u.
calculated total energy = -4.730 eV/atom
space-group type = P4mm, No. 99
mass density = 4.30 g/cm³